[1]
Here is MnTl2Fe at its PBEsol-relaxed geometry from Alexandria. Energies are from meta-GGA SCAN.

a = 5.836 Å, b = 5.836 Å, c = 4.515 Å
α = 112.64°, β = 112.64°, γ = 30.92°
Atoms (fractional coordinates):
1 Mn 0.000 0.000 0.000
2 Tl 0.577 0.577 0.577
3 Tl 0.796 0.796 0.294
4 Fe 0.316 0.316 0.815

Calculated values
total magnetization = 6.22 μB per formula unit
D(E_F) = 0.358 states/eV per atom
crystal system = monoclinic
ΔE_f = 0.347 eV/atom
distance to the lowest polymorph of the same formula = 0.0000 eV/atom
DFT total energy = -44.928 eV/atom

---

[2]
Here is TaAgAu2 at its PBEsol-relaxed geometry from Alexandria. Energies are from meta-GGA SCAN.

a = 2.858 Å, b = 2.858 Å, c = 8.259 Å
α = 90.00°, β = 90.00°, γ = 90.00°
Atoms (fractional coordinates):
1 Ta 0.000 0.000 0.000
2 Ag 0.500 0.500 0.253
3 Au 0.000 0.000 0.501
4 Au 0.500 0.500 0.757

Calculated values
total magnetization = 0.00 μB per formula unit
D(E_F) = 0.443 states/eV per atom
crystal system = tetragonal
ΔE_f = 0.002 eV/atom
DFT total energy = -59.064 eV/atom